Below is a relaxed structure of BePd3C, with properties calculated at the GGA-PBEsol level.

Computed properties:
Its calculated density is 8.22 g/cm3. As for the density of states at the Fermi level: 5.19 states/eV/cell. The value obtained for the formation energy is 1.3239 eV/atom. Its crystal system is cubic.

The structure in CIF format:
```
data_BePd3C
_chemical_formula_sum 'Be1 Pd3 C1'
_symmetry_space_group_name_H-M 'P m -3 m'
_symmetry_Int_Tables_number 221
_symmetry_space_group_name_Hall '-P 4 2 3'
_cell_length_a 4.097
_cell_length_b 4.097
_cell_length_c 4.097
_cell_angle_alpha 90.00
_cell_angle_beta 90.00
_cell_angle_gamma 90.00
loop_
_atom_site_label
_atom_site_fract_x
_atom_site_fract_y
_atom_site_fract_z
Be1 0.000 0.000 0.000
Pd1 0.000 0.000 0.500
C1 0.500 0.500 0.500
```



Below is a relaxed structure of BePd2C, with properties calculated at the GGA-PBEsol level.

Computed properties:
Its calculated density is 6.97 g/cm3. As for the density of states at the Fermi level: 5.70 states/eV/cell. The value obtained for the formation energy is 0.6814 eV/atom. Its crystal system is tetragonal.

The structure in CIF format:
```
data_BePd2C
_chemical_formula_sum 'Be4 Pd8 C4'
_symmetry_space_group_name_H-M 'I -4 2 d'
_symmetry_Int_Tables_number 122
_symmetry_space_group_name_Hall 'I -4 2bw'
_cell_length_a 4.992
_cell_length_b 4.992
_cell_length_c 8.949
_cell_angle_alpha 90.00
_cell_angle_beta 90.00
_cell_angle_gamma 90.00
loop_
_atom_site_label
_atom_site_fract_x
_atom_site_fract_y
_atom_site_fract_z
Be1 0.000 0.000 0.000
Pd1 0.204 0.250 0.625
C1 0.000 0.000 0.500
```



Below is a relaxed structure of BeRe3C, with properties calculated at the GGA-PBEsol level.

Computed properties:
Its calculated density is 15.06 g/cm3. As for the density of states at the Fermi level: 2.58 states/eV/cell. The value obtained for the formation energy is 0.4834 eV/atom. Its crystal system is cubic.

The structure in CIF format:
```
data_BeRe3C
_chemical_formula_sum 'Be1 Re3 C1'
_symmetry_space_group_name_H-M 'P m -3 m'
_symmetry_Int_Tables_number 221
_symmetry_space_group_name_Hall '-P 4 2 3'
_cell_length_a 3.998
_cell_length_b 3.998
_cell_length_c 3.998
_cell_angle_alpha 90.00
_cell_angle_beta 90.00
_cell_angle_gamma 90.00
loop_
_atom_site_label
_atom_site_fract_x
_atom_site_fract_y
_atom_site_fract_z
Be1 0.000 0.000 0.000
Re1 0.000 0.500 0.500
C1 0.500 0.500 0.500
```



Below is a relaxed structure of BeReC2, with properties calculated at the GGA-PBEsol level.

Computed properties:
Its calculated density is 8.43 g/cm3. As for the density of states at the Fermi level: 7.38 states/eV/cell. The value obtained for the formation energy is 0.6945 eV/atom. Its crystal system is tetragonal.

The structure in CIF format:
```
data_BeReC2
_chemical_formula_sum 'Be4 Re4 C8'
_symmetry_space_group_name_H-M 'I -4 2 d'
_symmetry_Int_Tables_number 122
_symmetry_space_group_name_Hall 'I -4 2bw'
_cell_length_a 4.421
_cell_length_b 4.421
_cell_length_c 8.838
_cell_angle_alpha 90.00
_cell_angle_beta 90.00
_cell_angle_gamma 90.00
loop_
_atom_site_label
_atom_site_fract_x
_atom_site_fract_y
_atom_site_fract_z
Be1 0.000 0.000 0.000
Re1 0.000 0.000 0.500
C1 0.241 0.250 0.125
```